First-principles (PBEsol) data for a geometry-optimized SrAg2PbC structure, as listed in Alexandria. Values from VASP.

Quantum ESPRESSO input file:
```
&SYSTEM
  ibrav = 0, nat = 5, ntyp = 4
/
ATOMIC_SPECIES
Pb 207.20 Pb.upf
Sr 87.62 Sr.upf
C 12.01 C.upf
Ag 107.87 Ag.upf
ATOMIC_POSITIONS crystal
Pb 0.5000 0.5000 0.5000
Sr 0.0000 0.0000 0.5000
C 0.0000 0.0000 0.0000
Ag 0.0000 0.5000 0.0000
Ag 0.5000 0.0000 0.0000
CELL_PARAMETERS angstrom
-0.9416 -2.5574 -3.5221
-1.9438 -2.9772 2.6814
-4.4752 2.4180 -0.5593
```

Values from the calculation:
M_tot = 0.00 μB per formula unit
VASP energy = -3.91 eV per atom